This record from Alexandria describes a relaxed structure of Pd. The functional is PBE-GGA.

It has space group I4/mmm (No. 139), with a = 3.2561 Å, b = 3.2561 Å, c = 2.9255 Å, α = 90.00°, β = 90.00° and γ = 90.00°. The asymmetric unit holds Pd at (0.0000, 0.0000, 0.0000).

The magnetization comes out at 0.000 μB per cell. As for the total energy: -5.145 eV per atom.

This record from Alexandria describes a relaxed structure of LiSn. The functional is PBE-GGA.

It has space group F-43m (No. 216), with a = 6.1833 Å, b = 6.1833 Å, c = 6.1833 Å, α = 90.00°, β = 90.00° and γ = 90.00°. The asymmetric unit holds Li at (0.0000, 0.0000, 0.0000) and Sn at (0.2500, 0.2500, 0.7500).

The magnetization comes out at 0.000 μB per cell. As for the total energy: -2.452 eV per atom.

This record from Alexandria describes a relaxed structure of Pr5Nd8Tm. The functional is PBE-GGA.

It has space group I-4 (No. 82), with a = 9.9017 Å, b = 9.9017 Å, c = 10.2669 Å, α = 90.00°, β = 90.00° and γ = 90.00°. The asymmetric unit holds Pr at (0.0000, 0.0000, 0.0000), Pr at (0.1059, 0.2098, 0.4207), Nd at (0.0685, 0.3292, 0.0911), Nd at (0.0834, 0.1845, 0.7528) and Tm at (0.0000, 0.5000, 0.7500).

The magnetization comes out at 0.000 μB per cell. As for the total energy: -4.516 eV per atom.

This record from Alexandria describes a relaxed structure of Ac3LaSi2. The functional is PBE-GGA.

It has space group Immm (No. 71), with a = 4.7499 Å, b = 4.8160 Å, c = 17.2658 Å, α = 90.00°, β = 90.00° and γ = 90.00°. The asymmetric unit holds Ac at (0.0000, 0.0000, 0.0000), Ac at (0.0000, 0.5000, 0.3164), La at (0.0000, 0.0000, 0.5000) and Si at (0.0000, 0.5000, 0.1308).

The value obtained for the formation energy without anion corrections is -0.38 eV/atom. The magnetization comes out at 0.002 μB per cell.

This record from Alexandria describes a relaxed structure of KZrHg2. The functional is PBE-GGA.

It has space group P4mm (No. 99), with a = 3.8247 Å, b = 3.8247 Å, c = 8.5406 Å, α = 90.00°, β = 90.00° and γ = 90.00°. The asymmetric unit holds K at (0.0000, 0.0000, 0.0000), Zr at (0.5000, 0.5000, 0.3691), Hg at (0.0000, 0.0000, 0.4945) and Hg at (0.5000, 0.5000, 0.7327).

The magnetization comes out at 0.858 μB per cell. As for the total energy: -2.339 eV per atom.

This record from Alexandria describes a relaxed structure of ZrTe6Pd. The functional is PBE-GGA.

It has space group P-1 (No. 2), with a = 6.7133 Å, b = 6.7209 Å, c = 6.7255 Å, α = 63.91°, β = 63.87° and γ = 63.95°. The asymmetric unit holds Zr at (0.0000, 0.0000, 0.0000), Te at (0.0648, 0.7190, 0.4516), Te at (0.2794, 0.5480, 0.9356), Te at (0.4527, 0.0642, 0.7194) and Pd at (0.5000, 0.5000, 0.5000).

The value obtained for the formation energy without anion corrections is -0.24 eV/atom. The magnetization comes out at 0.000 μB per cell.

This record from Alexandria describes a relaxed structure of Ta6ReTc. The functional is PBE-GGA.

It has space group C2/m (No. 12), with a = 13.9939 Å, b = 4.5610 Å, c = 4.5611 Å, α = 90.00°, β = 108.95° and γ = 90.00°. The asymmetric unit holds Ta at (0.1197, 0.0000, 0.1197), Ta at (0.1197, 0.5000, 0.6197), Ta at (0.2495, 0.0000, 0.7495), Re at (0.0000, 0.0000, 0.5000) and Tc at (0.0000, 0.5000, 0.0000).

The magnetization comes out at 0.000 μB per cell. As for the total energy: -12.006 eV per atom.

This record from Alexandria describes a relaxed structure of InGaMo3. The functional is PBE-GGA.

It has space group Pm-3m (No. 221), with a = 4.6309 Å, b = 4.6309 Å, c = 4.6309 Å, α = 90.00°, β = 90.00° and γ = 90.00°. The asymmetric unit holds In at (0.0000, 0.0000, 0.0000), Ga at (0.5000, 0.5000, 0.5000) and Mo at (0.0000, 0.5000, 0.5000).

The magnetization comes out at 0.000 μB per cell. As for the total energy: -6.356 eV per atom.

This record from Alexandria describes a relaxed structure of Fe2SeBr. The functional is PBE-GGA.

It has space group Cm (No. 8), with a = 8.0439 Å, b = 3.3798 Å, c = 6.6944 Å, α = 90.00°, β = 96.01° and γ = 90.00°. The asymmetric unit holds Fe at (0.0000, 0.0000, 0.0000), Fe at (0.2106, 0.5000, 0.1008), Se at (0.2751, 0.0000, 0.8554) and Br at (0.0052, 0.5000, 0.3401).

The value obtained for the formation energy without anion corrections is 0.02 eV/atom. The magnetization comes out at 11.725 μB per cell.

This record from Alexandria describes a relaxed structure of Sm3Al6Pd5. The functional is PBE-GGA.

It has space group Pmmn (No. 59, origin choice 2), with a = 4.3328 Å, b = 12.9761 Å, c = 9.3881 Å, α = 90.00°, β = 90.00° and γ = 90.00°. The asymmetric unit holds Sm at (0.2500, 0.0513, 0.2466), Sm at (0.2500, 0.7500, 0.2599), Al at (0.2500, 0.0692, 0.5857), Al at (0.2500, 0.2500, 0.0389), Al at (0.2500, 0.2500, 0.4203), Al at (0.2500, 0.5990, 0.9812), Pd at (0.2500, 0.0929, 0.8688), Pd at (0.2500, 0.6342, 0.5369) and Pd at (0.2500, 0.7500, 0.7976).

The magnetization comes out at 0.000 μB per cell. As for the total energy: -5.305 eV per atom.

This record from Alexandria describes a relaxed structure of NaSm2C2N6. The functional is PBE-GGA.

It has space group P-1 (No. 2), with a = 5.9112 Å, b = 5.9145 Å, c = 6.3142 Å, α = 67.31°, β = 67.37° and γ = 66.88°. The asymmetric unit holds Na at (0.0000, 0.0000, 0.0000), Sm at (0.3287, 0.3290, 0.3060), C at (0.3149, 0.3142, 0.7690), N at (0.0928, 0.4338, 0.7103), N at (0.4084, 0.4082, 0.8688) and N at (0.4358, 0.0929, 0.7094).

The value obtained for the formation energy without anion corrections is -0.32 eV/atom. The magnetization comes out at 1.017 μB per cell.

This record from Alexandria describes a relaxed structure of RbTl3Pt. The functional is PBE-GGA.

It has space group Pnma (No. 62), with a = 9.2719 Å, b = 4.9721 Å, c = 13.1103 Å, α = 90.00°, β = 90.00° and γ = 90.00°. The asymmetric unit holds Rb at (0.1794, 0.2500, 0.0023), Tl at (0.0605, 0.2500, 0.5781), Tl at (0.1293, 0.7500, 0.7899), Tl at (0.1345, 0.7500, 0.2180) and Pt at (0.0857, 0.2500, 0.3579).

The magnetization comes out at 0.000 μB per cell. As for the total energy: -2.942 eV per atom.

Q: Look up the magnetization of the eleventh one.
A: 1.017 μB per cell

Q: Which value of magnetization does entry 5 give?
A: 0.858 μB per cell

Q: The highest magnetization belongs to which entry?
A: Fe2SeBr